Below is a relaxed Ce2CrF8 crystal, with properties calculated at the PBE+U level.

Cell and atoms, written as POSCAR:
```
Ce2CrF8
1.0
-1.1838 3.2053 1.4817
-4.8640 -2.3342 1.1636
5.5340 -2.5386 5.2323
Ce F Cr
2 8 1
direct
0.1709 0.6784 0.3418 Ce
0.8291 0.3216 0.6582 Ce
0.5900 0.4042 0.1801 F
0.4100 0.5958 0.8199 F
0.2253 0.3271 0.4506 F
0.6781 0.9615 0.3562 F
0.9575 0.1564 0.9150 F
0.3219 0.0385 0.6438 F
0.0425 0.8436 0.0850 F
0.7747 0.6729 0.5494 F
0.5000 0.0000 0.0000 Cr
```

- calculated density (g/cm3) = 5.339
- V (A^3/atom) = 13.69
- energy (eV per atom) = -6.516